First-principles (PBE with a Hubbard U) data for a relaxed structure of KPrV2O8, as listed in Alexandria.

Cell: 6.001 6.001 7.853 Å, 90.00 90.00 120.00°
Fractional coordinates of all 12 atoms:
1 K 0.000 0.000 0.000
2 Pr 0.000 0.000 0.500
3 V 0.333 0.667 0.233
4 V 0.667 0.333 0.767
5 O 0.175 0.349 0.304
6 O 0.175 0.825 0.304
7 O 0.333 0.667 0.013
8 O 0.349 0.175 0.696
9 O 0.651 0.825 0.304
10 O 0.667 0.333 0.987
11 O 0.825 0.175 0.696
12 O 0.825 0.651 0.696

## Properties
Space group = P-3m1
Final energy = -83.4 eV per cell
Calculated density = 2.8 g cm⁻³